# FeTc2Ag, relaxed, DFT PBE
# Energy of formation (eV/atom): 0.33
# Final energy (eV/atom): -7.6794
# Energy relative to the lowest polymorph listed for this composition (meV/atom): 14
data_FeTc2Ag
_space_group_name_H-M_alt 'P 1'
_space_group_IT_number 1
_space_group_name_Hall 'P 1'
_cell_length_a 2.6586
_cell_length_b 2.6586
_cell_length_c 8.1515
_cell_angle_alpha 90.00
_cell_angle_beta 90.00
_cell_angle_gamma 90.00
loop_
_atom_site_label
_atom_site_type_symbol
_atom_site_fract_x
_atom_site_fract_y
_atom_site_fract_z
_atom_site_occupancy
Fe1 Fe 0.0000 0.0000 0.0000 1
Tc1 Tc 0.5000 0.5000 0.2198 1
Tc2 Tc 0.5000 0.5000 0.7802 1
Ag1 Ag 0.0000 0.0000 0.5000 1

---

# PrDyInSn, relaxed, DFT PBE
# Energy of formation (eV/atom): -0.61
# Final energy (eV/atom): -4.6452
# Energy relative to the lowest polymorph listed for this composition (meV/atom): 0
data_PrDyInSn
_space_group_name_H-M_alt 'P 1'
_space_group_IT_number 1
_space_group_name_Hall 'P 1'
_cell_length_a 4.3825
_cell_length_b 4.6456
_cell_length_c 11.6682
_cell_angle_alpha 90.00
_cell_angle_beta 90.00
_cell_angle_gamma 90.00
loop_
_atom_site_label
_atom_site_type_symbol
_atom_site_fract_x
_atom_site_fract_y
_atom_site_fract_z
_atom_site_occupancy
Pr1 Pr 0.0000 0.0000 0.0000 1
Pr2 Pr 0.0000 0.5000 0.5000 1
Dy1 Dy 0.5000 0.0000 0.7265 1
Dy2 Dy 0.5000 0.5000 0.2265 1
In1 In 0.5000 0.0000 0.4477 1
In2 In 0.5000 0.5000 0.9477 1
Sn1 Sn 0.0000 0.0000 0.2762 1
Sn2 Sn 0.0000 0.5000 0.7762 1

---

# Pm2SmPu3Te6, relaxed, DFT PBE
# Formation energy without anion corrections (eV/f.u.): -15.14
# Final energy (eV/atom): -7.6003
data_Pm2SmPu3Te6
_space_group_name_H-M_alt 'P 1'
_space_group_IT_number 1
_space_group_name_Hall 'P 1'
_cell_length_a 9.9323
_cell_length_b 9.9323
_cell_length_c 8.9013
_cell_angle_alpha 102.63
_cell_angle_beta 102.63
_cell_angle_gamma 25.80
loop_
_atom_site_label
_atom_site_type_symbol
_atom_site_fract_x
_atom_site_fract_y
_atom_site_fract_z
_atom_site_occupancy
Pm1 Pm 0.1666 0.1666 0.3361 1
Pm2 Pm 0.8334 0.8334 0.6639 1
Sm1 Sm 0.5000 0.5000 0.0000 1
Pu1 Pu 0.1670 0.1670 0.8354 1
Pu2 Pu 0.5000 0.5000 0.5000 1
Pu3 Pu 0.8330 0.8330 0.1646 1
Te1 Te 0.0007 0.0007 0.7492 1
Te2 Te 0.3329 0.3329 0.9176 1
Te3 Te 0.3339 0.3339 0.4126 1
Te4 Te 0.6661 0.6661 0.5874 1
Te5 Te 0.6671 0.6671 0.0824 1
Te6 Te 0.9993 0.9993 0.2508 1

---

# Sm2Er3Th3, relaxed, DFT PBE
# Energy of formation (eV/atom): 0.15
# Final energy (eV/atom): -5.5203
data_Sm2Er3Th3
_space_group_name_H-M_alt 'P 1'
_space_group_IT_number 1
_space_group_name_Hall 'P 1'
_cell_length_a 9.0662
_cell_length_b 9.0662
_cell_length_c 3.6323
_cell_angle_alpha 90.00
_cell_angle_beta 90.00
_cell_angle_gamma 120.00
loop_
_atom_site_label
_atom_site_type_symbol
_atom_site_fract_x
_atom_site_fract_y
_atom_site_fract_z
_atom_site_occupancy
Sm1 Sm 0.3333 0.6667 0.0000 1
Sm2 Sm 0.6667 0.3333 0.0000 1
Er1 Er 0.0000 0.3952 0.5000 1
Er2 Er 0.3952 0.0000 0.5000 1
Er3 Er 0.6048 0.6048 0.5000 1
Th1 Th 0.0000 0.7733 0.0000 1
Th2 Th 0.2267 0.2267 0.0000 1
Th3 Th 0.7733 0.0000 0.0000 1

---

# In2Pb2Se, relaxed, DFT PBE
# Formation energy without anion corrections (eV/f.u.): 0.04
# Final energy (eV/atom): -3.2681
# Energy relative to the lowest polymorph listed for this composition (meV/atom): 7
data_In2Pb2Se
_space_group_name_H-M_alt 'P 1'
_space_group_IT_number 1
_space_group_name_Hall 'P 1'
_cell_length_a 4.1381
_cell_length_b 4.1381
_cell_length_c 17.4882
_cell_angle_alpha 90.00
_cell_angle_beta 90.00
_cell_angle_gamma 90.00
loop_
_atom_site_label
_atom_site_type_symbol
_atom_site_fract_x
_atom_site_fract_y
_atom_site_fract_z
_atom_site_occupancy
In1 In 0.0000 0.5000 0.2500 1
In2 In 0.0000 0.5000 0.7500 1
In3 In 0.5000 0.0000 0.2500 1
In4 In 0.5000 0.0000 0.7500 1
Pb1 Pb 0.0000 0.0000 0.0912 1
Pb2 Pb 0.0000 0.0000 0.9088 1
Pb3 Pb 0.5000 0.5000 0.4088 1
Pb4 Pb 0.5000 0.5000 0.5912 1
Se1 Se 0.0000 0.0000 0.5000 1
Se2 Se 0.5000 0.5000 0.0000 1

---

# Pd9Pt2Au4, relaxed, DFT PBE
# Energy of formation (eV/atom): -0.03
# Final energy (eV/atom): -4.8267
data_Pd9Pt2Au4
_space_group_name_H-M_alt 'P 1'
_space_group_IT_number 1
_space_group_name_Hall 'P 1'
_cell_length_a 6.9628
_cell_length_b 7.4864
_cell_length_c 9.7882
_cell_angle_alpha 70.98
_cell_angle_beta 89.79
_cell_angle_gamma 89.53
loop_
_atom_site_label
_atom_site_type_symbol
_atom_site_fract_x
_atom_site_fract_y
_atom_site_fract_z
_atom_site_occupancy
Pd1 Pd 0.0005 0.0981 0.3506 1
Pd2 Pd 0.9995 0.9019 0.6494 1
Pd3 Pd 0.0006 0.3009 0.0486 1
Pd4 Pd 0.0006 0.4994 0.2518 1
Pd5 Pd 0.3264 0.8994 0.9844 1
Pd6 Pd 0.3267 0.1033 0.6832 1
Pd7 Pd 0.3281 0.3026 0.3846 1
Pd8 Pd 0.3294 0.6977 0.2841 1
Pd9 Pd 0.3296 0.5004 0.0852 1
Pd10 Pd 0.3347 0.4994 0.5814 1
Pd11 Pd 0.6653 0.5006 0.4186 1
Pd12 Pd 0.6704 0.4996 0.9148 1
Pd13 Pd 0.6706 0.3023 0.7159 1
Pd14 Pd 0.6719 0.6974 0.6154 1
Pd15 Pd 0.6733 0.8967 0.3168 1
Pd16 Pd 0.6736 0.1006 0.0156 1
Pd17 Pd 0.9994 0.5006 0.7482 1
Pd18 Pd 0.9994 0.6991 0.9514 1
Pt1 Pt 0.9997 0.0999 0.8503 1
Pt2 Pt 0.0003 0.9001 0.1497 1
Pt3 Pt 0.0015 0.3030 0.5511 1
Pt4 Pt 0.9985 0.6970 0.4489 1
Au1 Au 0.3325 0.6994 0.7847 1
Au2 Au 0.3353 0.0992 0.1834 1
Au3 Au 0.3345 0.8976 0.4835 1
Au4 Au 0.3379 0.2997 0.8821 1
Au5 Au 0.6621 0.7003 0.1179 1
Au6 Au 0.6655 0.1024 0.5165 1
Au7 Au 0.6647 0.9008 0.8166 1
Au8 Au 0.6675 0.3006 0.2153 1

---

no.,density of states at the Fermi level (states/eV/cell)
1,3.773
2,7.466
3,35.020
4,10.947
5,5.737
6,54.303